SmHoInSn (PBE, relaxed); volume = 28.64 Å³/atom; E_form = -2.43 eV/f.u.; energy relative to the lowest polymorph listed for this composition = 0 meV per atom
1.0
4.340 0.000 0.000
0.000 2.293 5.756
0.000 -2.293 5.756
Sm Ho In Sn
1 1 1 1
direct
0.000 0.000 0.000
0.500 0.727 0.727
0.500 0.451 0.451
0.000 0.276 0.276